Entry 1
Here is an optimized crystal structure of CaZr3Fe from Alexandria. Energies are from PBE.

```
CaZr3Fe
1.0
4.9062 0.0000 0.0000
0.0000 4.9062 0.0000
0.0000 0.0000 4.9062
Ca Zr Fe
1 3 1
Direct
0.0000 0.0000 0.0000
0.0000 0.0000 0.5000
0.0000 0.5000 0.0000
0.5000 0.0000 0.0000
0.5000 0.5000 0.5000
```

Summary:
crystal system	cubic
theoretical density	5.2	g cm⁻³
M_tot	0.0000	μB per atom


Entry 2
Here is an optimized crystal structure of CaZr3Fe from Alexandria. Energies are from PBE.

```
CaZr3Fe
1.0
4.9684 0.0000 0.0000
0.0000 4.9684 0.0000
0.0000 0.0000 4.9684
Ca Zr Fe
1 3 1
Direct
0.0000 0.0000 0.0000
0.0000 0.5000 0.5000
0.5000 0.0000 0.5000
0.5000 0.5000 0.0000
0.5000 0.5000 0.5000
```

Summary:
crystal system	cubic
theoretical density	5.0	g cm⁻³
M_tot	0.0000	μB per atom


Of them, the most stable is entry 2 and the least stable is entry 1.


Entry 1
Here is an optimized crystal structure of CaGa6 from Alexandria. Energies are from PBE.

```
CaGa6
1.0
6.0305 0.0000 0.0000
0.0000 6.0305 0.0000
0.0000 0.0000 7.8012
Ca Ga
2 12
Direct
0.2500 0.7500 0.0000
0.7500 0.2500 0.0000
0.0542 0.5542 0.3489
0.0542 0.9458 0.6511
0.2500 0.2500 0.1611
0.2500 0.2500 0.8389
0.4458 0.5542 0.6511
0.4458 0.9458 0.3489
0.5542 0.0542 0.6511
0.5542 0.4458 0.3489
0.7500 0.7500 0.1611
0.7500 0.7500 0.8389
0.9458 0.0542 0.3489
0.9458 0.4458 0.6511
```

Summary:
crystal system	tetragonal
theoretical density	5.4	g cm⁻³
M_tot	0.0000	μB per atom


Entry 2
Here is an optimized crystal structure of CaGa6 from Alexandria. Energies are from PBE.

```
CaGa6
1.0
-3.5348 3.5348 3.5348
3.5348 -3.5348 3.5348
3.5348 3.5348 -3.5348
Ca Ga
1 6
Direct
0.0000 0.0000 0.0000
0.2500 0.5000 0.7500
0.2500 0.7500 0.5000
0.5000 0.2500 0.7500
0.5000 0.7500 0.2500
0.7500 0.2500 0.5000
0.7500 0.5000 0.2500
```

Summary:
crystal system	cubic
theoretical density	4.3	g cm⁻³
M_tot	0.0000	μB per atom


Of them, the most stable is entry 1 and the least stable is entry 2.


Entry 1
Here is an optimized crystal structure of Ca3Ga4 from Alexandria. Energies are from PBE.

```
Ca3Ga4
1.0
4.2474 0.0000 0.0000
0.0000 14.3188 0.0000
-2.1194 0.0000 5.6164
Ca Ga
6 8
Direct
0.0056 0.2500 0.0112
0.2870 0.6009 0.5752
0.2870 0.8991 0.5752
0.7130 0.1009 0.4248
0.7130 0.3991 0.4248
0.9944 0.7500 0.9888
0.0000 0.0000 0.0000
0.0000 0.5000 0.0000
0.2916 0.2500 0.5802
0.4267 0.0969 0.8534
0.4267 0.4031 0.8534
0.5733 0.5969 0.1466
0.5733 0.9031 0.1466
0.7084 0.7500 0.4198
```

Summary:
crystal system	monoclinic
theoretical density	3.9	g cm⁻³
M_tot	0.0000	μB per atom


Entry 2
Here is an optimized crystal structure of Ca3Ga4 from Alexandria. Energies are from PBE.

```
Ca3Ga4
1.0
-2.0538 2.1862 9.6120
2.0538 -2.1862 9.6120
2.0538 2.1862 -9.6120
Ca Ga
3 4
Direct
0.0000 0.0000 0.0000
0.3117 0.8117 0.5000
0.6883 0.1883 0.5000
0.1392 0.6392 0.5000
0.4344 0.4344 0.0000
0.5656 0.5656 0.0000
0.8608 0.3608 0.5000
```

Summary:
crystal system	orthorhombic
theoretical density	3.8	g cm⁻³
M_tot	0.0000	μB per atom


Of them, the most stable is entry 2 and the least stable is entry 1.


Entry 1
Here is an optimized crystal structure of CaGa4 from Alexandria. Energies are from PBE.

```
CaGa4
1.0
-2.1837 2.1837 5.4127
2.1837 -2.1837 5.4127
2.1837 2.1837 -5.4127
Ca Ga
1 4
Direct
0.0000 0.0000 0.0000
0.2500 0.7500 0.5000
0.3854 0.3854 0.0000
0.6146 0.6146 0.0000
0.7500 0.2500 0.5000
```

Summary:
crystal system	tetragonal
theoretical density	5.1	g cm⁻³
M_tot	0.0000	μB per atom


Entry 2
Here is an optimized crystal structure of CaGa4 from Alexandria. Energies are from PBE.

```
CaGa4
1.0
5.5763 0.0000 0.0000
0.0000 5.5763 0.0000
0.0000 0.0000 5.5763
Ca Ga
1 4
Direct
0.0000 0.0000 0.0000
0.0000 0.0000 0.5000
0.0000 0.5000 0.0000
0.5000 0.0000 0.0000
0.5000 0.5000 0.5000
```

Summary:
crystal system	cubic
theoretical density	3.1	g cm⁻³
M_tot	0.0000	μB per atom


Of them, the most stable is entry 1 and the least stable is entry 2.


Entry 1
Here is an optimized crystal structure of Ca2GdGa from Alexandria. Energies are from PBE.

```
Ca2GdGa
1.0
1.7970 1.0375 11.5888
-1.7970 1.0375 11.5888
0.0000 -2.0750 11.5888
Ca Gd Ga
2 1 1
Direct
0.1002 0.1002 0.1002
0.8998 0.8998 0.8998
0.0000 0.0000 0.0000
0.5000 0.5000 0.5000
```

Summary:
crystal system	trigonal
theoretical density	3.9	g cm⁻³
M_tot	1.9395	μB per atom


Entry 2
Here is an optimized crystal structure of Ca2GdGa from Alexandria. Energies are from PBE.

```
Ca2GdGa
1.0
3.5661 0.0000 0.0000
0.0000 3.5661 0.0000
0.0000 0.0000 9.6826
Ca Gd Ga
2 1 1
Direct
0.0000 0.0000 0.1993
0.0000 0.0000 0.8007
0.5000 0.5000 0.5000
0.5000 0.5000 0.0000
```

Summary:
crystal system	tetragonal
theoretical density	4.1	g cm⁻³
M_tot	1.9651	μB per atom


Of them, the most stable is entry 2 and the least stable is entry 1.


Entry 1
Here is an optimized crystal structure of Ca3GaGe from Alexandria. Energies are from PBE.

```
Ca3GaGe
1.0
8.3660 -1.8564 0.0000
8.3660 1.8564 0.0000
-1.1434 0.0000 9.1633
Ca Ga Ge
6 2 2
Direct
0.0481 0.0481 0.1718
0.2472 0.2483 0.8297
0.3975 0.3998 0.4115
0.6002 0.6025 0.5885
0.7517 0.7528 0.1703
0.9519 0.9519 0.8282
0.2043 0.2064 0.4178
0.7936 0.7957 0.5822
0.3908 0.3912 0.0810
0.6088 0.6092 0.9190
```

Summary:
crystal system	monoclinic
theoretical density	3.1	g cm⁻³
M_tot	0.0000	μB per atom


Entry 2
Here is an optimized crystal structure of Ca3GaGe from Alexandria. Energies are from PBE.

```
Ca3GaGe
1.0
5.6491 0.0000 0.0000
0.0000 5.6491 0.0000
0.0000 0.0000 5.6491
Ca Ga Ge
3 1 1
Direct
0.0000 0.0000 0.5000
0.0000 0.5000 0.0000
0.5000 0.0000 0.0000
0.5000 0.5000 0.5000
0.0000 0.0000 0.0000
```

Summary:
crystal system	cubic
theoretical density	2.4	g cm⁻³
M_tot	0.0000	μB per atom


Of them, the most stable is entry 1 and the least stable is entry 2.


Entry 1
Here is an optimized crystal structure of Ca3GaGe3 from Alexandria. Energies are from PBE.

```
Ca3GaGe3
1.0
3.8351 -5.6572 0.0000
3.8351 5.6572 0.0000
-0.9490 0.0000 7.9222
Ca Ga Ge
6 2 6
Direct
0.1983 0.8017 0.0000
0.2397 0.7603 0.5000
0.3582 0.3582 0.1526
0.6418 0.6418 0.8474
0.7603 0.2397 0.5000
0.8017 0.1983 0.0000
0.3000 0.3000 0.5245
0.7000 0.7000 0.4755
0.0232 0.0232 0.7421
0.1340 0.4333 0.7748
0.4333 0.1340 0.7748
0.5667 0.8660 0.2252
0.8660 0.5667 0.2252
0.9768 0.9768 0.2579
```

Summary:
crystal system	monoclinic
theoretical density	3.9	g cm⁻³
M_tot	0.0000	μB per atom


Entry 2
Here is an optimized crystal structure of Ca3GaGe3 from Alexandria. Energies are from PBE.

```
Ca3GaGe3
1.0
-2.0431 2.2663 9.2059
2.0431 -2.2663 9.2059
2.0431 2.2663 -9.2059
Ca Ga Ge
3 1 3
Direct
0.0000 0.0000 0.0000
0.1868 0.6868 0.5000
0.3667 0.3667 0.0000
0.6155 0.1155 0.5000
0.5367 0.5367 0.0000
0.7505 0.2505 0.5000
0.8347 0.8347 0.0000
```

Summary:
crystal system	orthorhombic
theoretical density	4.0	g cm⁻³
M_tot	0.0000	μB per atom


Of them, the most stable is entry 2 and the least stable is entry 1.


Entry 1
Here is an optimized crystal structure of Ca2GaGe3 from Alexandria. Energies are from PBE.

```
Ca2GaGe3
1.0
5.5997 -2.1260 0.0000
5.5997 2.1260 0.0000
-4.3236 0.0000 5.5881
Ca Ga Ge
2 1 3
Direct
0.0000 0.0000 0.0000
0.1283 0.1283 0.6306
0.7252 0.7252 0.4072
0.3993 0.3993 0.5990
0.4079 0.4079 0.2230
0.7227 0.7227 0.0208
```

Summary:
crystal system	monoclinic
theoretical density	4.6	g cm⁻³
M_tot	0.0000	μB per atom


Entry 2
Here is an optimized crystal structure of Ca2GaGe3 from Alexandria. Energies are from PBE.

```
Ca2GaGe3
1.0
0.0000 4.2789 8.0509
4.0927 0.0000 8.0509
4.0927 4.2789 0.0000
Ca Ga Ge
4 2 6
Direct
0.2433 0.7567 0.2433
0.2500 0.2500 0.2500
0.7500 0.7500 0.7500
0.7567 0.2433 0.7567
0.3329 0.3329 0.6671
0.6671 0.6671 0.3329
0.1680 0.6679 0.8320
0.1739 0.1739 0.8261
0.3321 0.8320 0.6679
0.6679 0.1680 0.3321
0.8261 0.8261 0.1739
0.8320 0.3321 0.1680
```

Summary:
crystal system	orthorhombic
theoretical density	4.3	g cm⁻³
M_tot	0.0000	μB per atom


Of them, the most stable is entry 1 and the least stable is entry 2.


Entry 1
Here is an optimized crystal structure of CaHoGaGe from Alexandria. Energies are from PBE.

```
CaHoGaGe
1.0
0.0000 3.5997 3.5997
3.5997 0.0000 3.5997
3.5997 3.5997 0.0000
Ca Ho Ga Ge
1 1 1 1
Direct
0.0000 0.0000 0.0000
0.5000 0.5000 0.5000
0.7500 0.7500 0.7500
0.2500 0.2500 0.2500
```

Summary:
crystal system	cubic
theoretical density	6.2	g cm⁻³
M_tot	0.0000	μB per atom


Entry 2
Here is an optimized crystal structure of CaHoGaGe from Alexandria. Energies are from PBE.

```
CaHoGaGe
1.0
4.0492 0.0000 0.0000
0.0000 2.1913 5.4382
0.0000 -2.1913 5.4382
Ca Ho Ga Ge
1 1 1 1
Direct
0.0000 0.0000 0.0000
0.5000 0.2774 0.2774
0.5000 0.5653 0.5653
0.0000 0.7202 0.7202
```

Summary:
crystal system	orthorhombic
theoretical density	6.0	g cm⁻³
M_tot	0.0000	μB per atom


Of them, the most stable is entry 2 and the least stable is entry 1.


Entry 1
Here is an optimized crystal structure of CaLaGaGe from Alexandria. Energies are from PBE.

```
CaLaGaGe
1.0
0.0000 3.7089 3.7089
3.7089 0.0000 3.7089
3.7089 3.7089 0.0000
Ca La Ga Ge
1 1 1 1
Direct
0.0000 0.0000 0.0000
0.5000 0.5000 0.5000
0.7500 0.7500 0.7500
0.2500 0.2500 0.2500
```

Summary:
crystal system	cubic
theoretical density	5.2	g cm⁻³
M_tot	0.0000	μB per atom


Entry 2
Here is an optimized crystal structure of CaLaGaGe from Alexandria. Energies are from PBE.

```
CaLaGaGe
1.0
4.1647 0.0000 0.0000
0.0000 2.2804 5.6217
0.0000 -2.2804 5.6217
Ca La Ga Ge
1 1 1 1
Direct
0.0000 0.0000 0.0000
0.5000 0.2765 0.2765
0.5000 0.5629 0.5629
0.0000 0.7106 0.7106
```

Summary:
crystal system	orthorhombic
theoretical density	5.0	g cm⁻³
M_tot	0.0000	μB per atom


Of them, the most stable is entry 2 and the least stable is entry 1.


Entry 1
Here is an optimized crystal structure of SrCaGaGe from Alexandria. Energies are from PBE.

```
SrCaGaGe
1.0
4.2450 0.0000 0.0000
0.0000 2.2951 5.7747
0.0000 -2.2951 5.7747
Sr Ca Ga Ge
1 1 1 1
Direct
0.0000 0.0000 0.0000
0.5000 0.2780 0.2780
0.0000 0.7130 0.7130
0.5000 0.5764 0.5764
```

Summary:
crystal system	orthorhombic
theoretical density	4.0	g cm⁻³
M_tot	0.0000	μB per atom


Entry 2
Here is an optimized crystal structure of SrCaGaGe from Alexandria. Energies are from PBE.

```
SrCaGaGe
1.0
0.0000 3.7703 3.7703
3.7703 0.0000 3.7703
3.7703 3.7703 0.0000
Sr Ca Ga Ge
1 1 1 1
Direct
0.0000 0.0000 0.0000
0.5000 0.5000 0.5000
0.2500 0.2500 0.2500
0.7500 0.7500 0.7500
```

Summary:
crystal system	cubic
theoretical density	4.2	g cm⁻³
M_tot	0.0000	μB per atom


Of them, the most stable is entry 1 and the least stable is entry 2.


Entry 1
Here is an optimized crystal structure of CaYGaGe from Alexandria. Energies are from PBE.

```
CaYGaGe
1.0
0.0000 3.6137 3.6137
3.6137 0.0000 3.6137
3.6137 3.6137 0.0000
Ca Y Ga Ge
1 1 1 1
Direct
0.0000 0.0000 0.0000
0.5000 0.5000 0.5000
0.7500 0.7500 0.7500
0.2500 0.2500 0.2500
```

Summary:
crystal system	cubic
theoretical density	4.8	g cm⁻³
M_tot	0.0000	μB per atom


Entry 2
Here is an optimized crystal structure of CaYGaGe from Alexandria. Energies are from PBE.

```
CaYGaGe
1.0
4.0603 0.0000 0.0000
0.0000 2.2012 5.4568
0.0000 -2.2012 5.4568
Ca Y Ga Ge
1 1 1 1
Direct
0.0000 0.0000 0.0000
0.5000 0.2777 0.2777
0.5000 0.5653 0.5653
0.0000 0.7195 0.7195
```

Summary:
crystal system	orthorhombic
theoretical density	4.6	g cm⁻³
M_tot	0.0000	μB per atom


Of them, the most stable is entry 2 and the least stable is entry 1.


Entry 1
Here is an optimized crystal structure of Ca2GaH from Alexandria. Energies are from PBE.

```
Ca2GaH
1.0
3.3470 0.0000 0.0000
0.0000 3.3470 0.0000
0.0000 0.0000 7.5685
Ca Ga H
2 1 1
Direct
0.0000 0.0000 0.2343
0.0000 0.0000 0.7657
0.5000 0.5000 0.5000
0.5000 0.5000 0.0000
```

Summary:
crystal system	tetragonal
theoretical density	3.0	g cm⁻³
M_tot	0.0000	μB per atom


Entry 2
Here is an optimized crystal structure of Ca2GaH from Alexandria. Energies are from PBE.

```
Ca2GaH
1.0
1.8086 1.0442 8.9429
-1.8086 1.0442 8.9429
0.0000 -2.0884 8.9429
Ca Ga H
2 1 1
Direct
0.1124 0.1124 0.1124
0.8876 0.8876 0.8876
0.0000 0.0000 0.0000
0.5000 0.5000 0.5000
```

Summary:
crystal system	trigonal
theoretical density	2.5	g cm⁻³
M_tot	0.0000	μB per atom


Of them, the most stable is entry 1 and the least stable is entry 2.